# 1
First-principles (PBE) data for YSeCl after structural relaxation, as listed in the Alexandria database.

a = 5.709 Å, b = 8.238 Å, c = 8.238 Å
α = 90.00°, β = 90.00°, γ = 90.00°
Fractional positions:
Y (0.000, 0.500, 0.758)
Y (0.500, 0.242, 0.500)
Y (0.500, 0.758, 0.500)
Y (0.000, 0.500, 0.242)
Se (0.000, 0.738, 0.500)
Se (0.500, 0.500, 0.738)
Se (0.500, 0.500, 0.262)
Se (0.000, 0.262, 0.500)
Cl (0.000, 0.715, 0.000)
Cl (0.500, 0.000, 0.715)
Cl (0.500, 0.000, 0.285)
Cl (0.000, 0.285, 0.000)

Summary:
ΔE_f (raw), meV/atom: -2061
Calculated density, g cm⁻³: 3.5
Space group: No. 131
Total moment, Bohr magnetons per cell: 0.00
Crystal system: tetragonal


# 2
First-principles (PBE) data for LaLuSi after structural relaxation, as listed in the Alexandria database.

a = 4.932 Å, b = 4.932 Å, c = 4.932 Å
α = 60.00°, β = 60.00°, γ = 60.00°
Fractional positions:
Si (0.250, 0.250, 0.250)
Lu (0.000, 0.000, 0.000)
La (0.500, 0.500, 0.500)

Summary:
ΔE_f (raw), meV/atom: -425
Calculated density, g cm⁻³: 6.7
Space group: No. 216
Total moment, Bohr magnetons per cell: 0.00
Polymorph energy (0 for the lowest one), meV/atom: 0
Crystal system: cubic